[1]
! Pm6Hg2Rh, optimized geometry, DFT GGA-PBE; values from VASP
! Symmetry: P2_1/c
! Crystal system: monoclinic
! DFT formation energy, eV per atom: -0.327
&SYSTEM
  ibrav = 0, nat = 18, ntyp = 3
/
ATOMIC_SPECIES
Pm 145.00 Pm.upf
Rh 102.91 Rh.upf
Hg 200.59 Hg.upf
ATOMIC_POSITIONS crystal
Pm 0.1923 0.3131 0.4466
Pm 0.8077 0.6869 0.5534
Pm 0.8146 0.6992 0.9490
Pm 0.1188 0.0089 0.7539
Pm 0.6854 0.1992 0.5510
Pm 0.1854 0.3008 0.0510
Pm 0.3146 0.8008 0.4490
Pm 0.6188 0.4911 0.2539
Pm 0.3077 0.8131 0.0534
Pm 0.3812 0.5089 0.7461
Pm 0.8812 0.9911 0.2461
Pm 0.6923 0.1869 0.9466
Rh 0.0000 0.0000 0.5000
Rh 0.5000 0.5000 0.0000
Hg 0.0422 0.5910 0.2413
Hg 0.9578 0.4090 0.7587
Hg 0.5422 0.9090 0.7413
Hg 0.4578 0.0910 0.2587
CELL_PARAMETERS angstrom
7.1346 0.0000 0.1914
0.0000 7.4520 0.0000
-0.6164 0.0000 10.5522



[2]
! La2CeTa3N8, optimized geometry, DFT GGA-PBE; values from VASP
! Energy relative to the elements, uncorrected, eV/atom: -1.163
! Symmetry: R3m
! Crystal system: trigonal
&SYSTEM
  ibrav = 0, nat = 14, ntyp = 4
/
ATOMIC_SPECIES
Ta 180.95 Ta.upf
Ce 140.12 Ce.upf
N 14.01 N.upf
La 138.91 La.upf
ATOMIC_POSITIONS crystal
Ta 0.0023 0.4987 0.0003
Ta 0.4987 0.0023 0.0003
Ta 0.4987 0.4987 0.0003
Ce 0.8831 0.8831 0.3507
N 0.7506 0.7506 0.2010
N 0.7327 0.7327 0.8018
N 0.2670 0.2670 0.1989
N 0.7506 0.2978 0.2010
N 0.2978 0.7506 0.2010
N 0.6943 0.2472 0.8114
N 0.2472 0.2472 0.8114
N 0.2472 0.6943 0.8114
La 0.4992 0.4992 0.5025
La 0.1232 0.1232 0.6303
CELL_PARAMETERS angstrom
-4.5734 4.1021 2.0623
-6.2164 -1.0619 -1.4916
-4.2260 -2.1332 5.0533



[3]
! RhW2Cl, optimized geometry, DFT GGA-PBE; values from VASP
! Energy relative to the elements, uncorrected, eV/atom: 1.161
! Energy above the lowest structure with this stoichiometry, meV per atom: 980
! Symmetry: P4/mmm
! Crystal system: tetragonal
&SYSTEM
  ibrav = 0, nat = 4, ntyp = 3
/
ATOMIC_SPECIES
W 183.84 W.upf
Cl 35.45 Cl.upf
Rh 102.91 Rh.upf
ATOMIC_POSITIONS crystal
W 0.0000 0.0000 0.0000
W 0.0000 0.5000 0.5000
Cl 0.5000 0.5000 0.0000
Rh 0.5000 0.0000 0.5000
CELL_PARAMETERS angstrom
-3.9532 1.1430 -2.2431
-1.8091 -2.6925 1.8163
-0.8457 2.3979 2.7123



[4]
! YZn2, optimized geometry, DFT GGA-PBE; values from VASP
! Symmetry: I4_1/amd
! Crystal system: tetragonal
! DFT formation energy, eV per atom: -0.331
&SYSTEM
  ibrav = 0, nat = 6, ntyp = 2
/
ATOMIC_SPECIES
Zn 65.41 Zn.upf
Y 88.91 Y.upf
ATOMIC_POSITIONS crystal
Zn 0.4183 0.8367 0.5817
Zn 0.5817 0.1633 0.4183
Zn 0.3317 0.6633 0.1683
Zn 0.1683 0.3367 0.3317
Y 0.7500 0.5000 0.7500
Y 0.0000 0.0000 0.0000
CELL_PARAMETERS angstrom
-3.8043 -0.4728 -1.4424
3.0885 -7.5051 0.1298
-1.1768 -1.5396 3.6085



[5]
! Pm12HPd6, optimized geometry, DFT GGA-PBE; values from VASP
! Symmetry: R-3
! Crystal system: trigonal
! Raw total energy, eV per atom: -5.241
&SYSTEM
  ibrav = 0, nat = 19, ntyp = 3
/
ATOMIC_SPECIES
Pm 145.00 Pm.upf
Pd 106.42 Pd.upf
H 1.01 H.upf
ATOMIC_POSITIONS crystal
Pm 0.8108 0.5884 0.4339
Pm 0.5884 0.4339 0.8108
Pm 0.1892 0.4116 0.5661
Pm 0.6874 0.9176 0.0289
Pm 0.4339 0.8108 0.5884
Pm 0.0824 0.9711 0.3126
Pm 0.9176 0.0289 0.6874
Pm 0.3126 0.0824 0.9711
Pm 0.9711 0.3126 0.0824
Pm 0.0289 0.6874 0.9176
Pm 0.4116 0.5661 0.1892
Pm 0.5661 0.1892 0.4116
Pd 0.3030 0.1173 0.6289
Pd 0.6289 0.3030 0.1173
Pd 0.1173 0.6289 0.3030
Pd 0.6970 0.8827 0.3711
Pd 0.8827 0.3711 0.6970
Pd 0.3711 0.6970 0.8827
H 0.0000 0.0000 0.0000
CELL_PARAMETERS angstrom
-7.8272 -2.0757 1.5021
3.5426 -4.5742 5.8614
0.0573 7.2088 3.9823



[6]
! K3Pr3PtO8, optimized geometry, DFT GGA-PBE; values from VASP
! Energy relative to the elements, uncorrected, eV/atom: -2.144
! Symmetry: R-3m
! Crystal system: trigonal
&SYSTEM
  ibrav = 0, nat = 15, ntyp = 4
/
ATOMIC_SPECIES
O 16.00 O.upf
Pr 140.91 Pr.upf
Pt 195.08 Pt.upf
K 39.10 K.upf
ATOMIC_POSITIONS crystal
O 0.2075 0.4150 0.6772
O 0.7622 0.9697 0.6772
O 0.2075 0.9698 0.6772
O 0.7305 0.4611 0.6916
O 0.7925 0.0302 0.3228
O 0.7925 0.5850 0.3228
O 0.2695 0.5389 0.3084
O 0.2378 0.0303 0.3228
Pr 0.5000 0.0000 0.5000
Pr 0.0000 0.5000 0.5000
Pr 0.5000 0.5000 0.5000
Pt 0.0000 0.0000 0.5000
K 0.0000 0.5000 0.0000
K 0.5000 0.5000 0.0000
K 0.0000 0.0000 0.0000
CELL_PARAMETERS angstrom
7.1105 0.0001 0.0000
-3.5551 6.1576 -0.0215
-0.0001 -4.0837 6.3150